A plane-wave DFT calculation with PBE-GGA was carried out for a relaxed VSnC3 crystal.

Geometry as POSCAR:
```
VSnC3
1.0
4.222 0.000 0.000
0.000 4.222 0.000
0.000 0.000 4.222
V Sn C
1 1 3
Cartesian
0.000 0.000 0.000
2.111 2.111 2.111
0.000 2.111 2.111
2.111 0.000 2.111
2.111 2.111 0.000
```

Calculated values
For the density of states at the Fermi level, the calculation gives 7.32 states/eV/f.u. As for the raw total energy: -26.13 eV/f.u. For the spin magnetization, the calculation gives 2.4 μB per cell. The calculation puts the excess energy over the best structure of this formula in the dataset at 6.493 eV per formula unit. The value obtained for the energy of formation from the pure elements is 2.93 eV per atom.